A plane-wave DFT calculation with PBE was carried out for an optimized crystal structure of LaY4Mo.

Cell lengths 6.405, 6.405, 6.405 Å; angles 60.00, 60.00, 60.00 degrees
Element x y z (fractional)
1 La 0.000 0.000 0.000
2 Y 0.376 0.376 0.376
3 Y 0.376 0.376 0.871
4 Y 0.376 0.871 0.376
5 Y 0.871 0.376 0.376
6 Mo 0.750 0.750 0.750

Calculated values
* V: 30.97 Å³/atom
* VASP energy: -6.155 eV/atom
* ΔH_f (0 K): 0.781 eV per atom
* DOS(E_F): 9.63 states/eV/cell